! YTaMn2 (PBE, optimized geometry); values from VASP
&SYSTEM
  ibrav = 0, nat = 8, ntyp = 3
/
ATOMIC_SPECIES
Y 88.91 Y.upf
Ta 180.95 Ta.upf
Mn 54.94 Mn.upf
CELL_PARAMETERS angstrom
3.5848 0.0000 0.0000
0.0000 3.7276 0.0000
0.0000 0.0000 10.8333
ATOMIC_POSITIONS angstrom
Y 0.0000 0.0000 0.0000
Y 0.0000 1.8638 5.4167
Ta 1.7924 0.0000 7.6803
Ta 1.7924 1.8638 2.2636
Mn 0.0000 0.0000 2.9223
Mn 0.0000 1.8638 8.3390
Mn 1.7924 0.0000 4.1080
Mn 1.7924 1.8638 9.5247
! Theoretical density in g cm⁻³: 8.71
! Symmetry: Amm2 (38)
! VASP energy in eV per atom: -8.93
! Formation enthalpy at 0 K in eV per atom: 0.235
! Magnetization in μB per atom: 0.0002